# CaFe2HgW, optimized geometry, DFT GGA-PBE
data_CaFe2HgW
_symmetry_space_group_name_H-M 'P 1'
_symmetry_Int_Tables_number 1
_cell_length_a 4.489
_cell_length_b 4.489
_cell_length_c 5.367
_cell_angle_alpha 90.00
_cell_angle_beta 90.00
_cell_angle_gamma 90.00
loop_
_symmetry_equiv_pos_as_xyz
'x,y,z'
loop_
_atom_site_label
_atom_site_type_symbol
_atom_site_fract_x
_atom_site_fract_y
_atom_site_fract_z
_atom_site_occupancy
Ca1 Ca 0.000 0.000 0.000 1
Fe1 Fe 0.000 0.500 0.500 1
Fe2 Fe 0.500 0.000 0.500 1
Hg1 Hg 0.500 0.500 0.000 1
W1 W 0.500 0.500 0.500 1
# ΔH_f (0 K)   972 meV per atom
# V   108.1 Å³/f.u.
# D(E_F)   0.989 states/eV/atom
# Spin magnetization   0.00 μB per formula unit
# SG   P4/mmm, No. 123